# 1
A plane-wave DFT calculation with PBE-GGA was carried out for crystalline TbTl3Te2O9 at its relaxed geometry.

The space group is P-3m1 (No. 164) and the conventional cell measures 5.9313, 5.9313 and 7.3132 Å, with angles of 90.00, 90.00 and 120.00 degrees. Symmetry generates all atoms from Tb at (0.0000, 0.0000, 0.0000), Tl at (0.0000, 0.0000, 0.5000), Tl at (0.3333, 0.6667, 0.1686), Te at (0.3333, 0.6667, 0.6673), O at (0.0000, 0.5000, 0.5000) and O at (0.1774, 0.3548, 0.8128).

For the raw formation energy, the calculation gives -1822.1 kJ/mol of formula units.



# 2
A plane-wave DFT calculation with PBE-GGA was carried out for crystalline Ce2PuGa2Au2 at its relaxed geometry.

The space group is C2/m (No. 12) and the conventional cell measures 10.317, 4.661 and 6.703 Å, with angles of 90.00, 98.61 and 90.00 degrees. Symmetry generates all atoms from Ce at (0.135, 0.000, 0.265), Pu at (0.000, 0.500, 0.500), Ga at (0.112, 0.500, 0.945) and Au at (0.171, 0.000, 0.750).



VASP energy: -5.435 -6.037 (eV/atom)